Entry from Alexandria via LeMat-Bulk: an optimized crystal structure of Li2SmTm2Mg5 (PBE).

Summary:
Calculated volume ... 24.6 Å³/atom
E ... -2.550 eV/atom
Calculated formation energy ... -0.003 eV per atom
Size of the total moment ... 0.0 μB/cell

abc: 10.5131 10.5131 4.4445
angles: 90.00 90.00 90.00
Space group P4/mbm (No. 127)
Asymmetric unit:
1 Li 0.1142 0.3858 0.0000 [4 per cell]
2 Sm 0.0000 0.0000 0.0000 [2 per cell]
3 Tm 0.1798 0.6798 0.0000 [4 per cell]
4 Mg 0.0000 0.5000 0.5000 [2 per cell]
5 Mg 0.0642 0.2160 0.5000 [8 per cell]

---

Entry from Alexandria via LeMat-Bulk: an optimized crystal structure of LiSmTmMg (PBE).

Summary:
Calculated volume ... 26.8 Å³/atom
E ... -3.133 eV/atom
Calculated formation energy ... 0.042 eV per atom
Size of the total moment ... 0.0 μB/cell

abc: 7.5378 7.5378 7.5378
angles: 90.00 90.00 90.00
Space group F-43m (No. 216)
Asymmetric unit:
1 Li 0.0000 0.0000 0.0000 [4 per cell]
2 Sm 0.2500 0.2500 0.2500 [4 per cell]
3 Tm 0.2500 0.2500 0.7500 [4 per cell]
4 Mg 0.0000 0.0000 0.5000 [4 per cell]

---

Entry from Alexandria via LeMat-Bulk: an optimized crystal structure of LiSmYMg (PBE).

Summary:
Calculated volume ... 27.4 Å³/atom
E ... -3.653 eV/atom
Calculated formation energy ... 0.020 eV per atom
Size of the total moment ... 0.0 μB/cell

abc: 7.5951 7.5951 7.5951
angles: 90.00 90.00 90.00
Space group F-43m (No. 216)
Asymmetric unit:
1 Li 0.0000 0.0000 0.0000 [4 per cell]
2 Sm 0.2500 0.2500 0.7500 [4 per cell]
3 Y 0.2500 0.2500 0.2500 [4 per cell]
4 Mg 0.0000 0.0000 0.5000 [4 per cell]

---

Entry from Alexandria via LeMat-Bulk: an optimized crystal structure of LiSmMgZn (PBE).

Summary:
Calculated volume ... 21.2 Å³/atom
E ... -2.587 eV/atom
Calculated formation energy ... -0.212 eV per atom
Size of the total moment ... 0.0 μB/cell

abc: 6.9740 6.9740 6.9740
angles: 90.00 90.00 90.00
Space group F-43m (No. 216)
Asymmetric unit:
1 Li 0.0000 0.0000 0.0000 [4 per cell]
2 Sm 0.2500 0.2500 0.2500 [4 per cell]
3 Mg 0.2500 0.2500 0.7500 [4 per cell]
4 Zn 0.0000 0.0000 0.5000 [4 per cell]

---

Entry from Alexandria via LeMat-Bulk: an optimized crystal structure of Li5Mg2Sn5 (PBE).

Summary:
Calculated volume ... 22.4 Å³/atom
E ... -2.980 eV/atom
Calculated formation energy ... -0.249 eV per atom
Size of the total moment ... 0.0 μB/cell

abc: 8.8219 4.9847 12.8612
angles: 90.00 108.43 90.00
Space group C2/m (No. 12)
Asymmetric unit:
1 Li 0.0000 0.0000 0.0000 [2 per cell]
2 Li 0.1389 0.0000 0.8027 [4 per cell]
3 Li 0.1469 0.0000 0.4631 [4 per cell]
4 Mg 0.0841 0.5000 0.2982 [4 per cell]
5 Sn 0.0000 0.5000 0.5000 [2 per cell]
6 Sn 0.1490 0.5000 0.9431 [4 per cell]
7 Sn 0.2206 0.0000 0.2534 [4 per cell]

---

Entry from Alexandria via LeMat-Bulk: an optimized crystal structure of Li5Mg2Sn (PBE).

Summary:
Calculated volume ... 18.9 Å³/atom
E ... -2.329 eV/atom
Calculated formation energy ... -0.233 eV per atom
Size of the total moment ... 0.0 μB/cell

abc: 4.7746 4.7746 13.2798
angles: 90.00 90.00 90.00
Space group I4/mmm (No. 139)
Asymmetric unit:
1 Li 0.0000 0.0000 0.0000 [2 per cell]
2 Li 0.0000 0.5000 0.1156 [8 per cell]
3 Mg 0.0000 0.0000 0.2591 [4 per cell]
4 Sn 0.0000 0.0000 0.5000 [2 per cell]

---

Entry from Alexandria via LeMat-Bulk: an optimized crystal structure of LiMgSn (PBE).

Summary:
Calculated volume ... 21.5 Å³/atom
E ... -2.755 eV/atom
Calculated formation energy ... -0.251 eV per atom
Size of the total moment ... 0.0 μB/cell

abc: 3.3687 5.1678 8.0056
angles: 91.78 101.88 107.70
Space group P-1 (No. 2)
Asymmetric unit:
1 Li 0.0883 0.2418 0.4259 [2 per cell]
2 Mg 0.4168 0.2523 0.0889 [2 per cell]
3 Sn 0.2516 0.7452 0.2528 [2 per cell]

---

Entry from Alexandria via LeMat-Bulk: an optimized crystal structure of LiMg2Sn9 (PBE).

Summary:
Calculated volume ... 25.8 Å³/atom
E ... -3.483 eV/atom
Calculated formation energy ... -0.055 eV per atom
Size of the total moment ... 0.0 μB/cell

abc: 4.8195 4.8195 13.3262
angles: 90.00 90.00 90.00
Space group P4/mmm (No. 123)
Asymmetric unit:
1 Li 0.0000 0.0000 0.0000 [1 per cell]
2 Mg 0.0000 0.0000 0.3329 [2 per cell]
3 Sn 0.0000 0.5000 0.1665 [4 per cell]
4 Sn 0.0000 0.5000 0.5000 [2 per cell]
5 Sn 0.5000 0.5000 0.0000 [1 per cell]
6 Sn 0.5000 0.5000 0.3352 [2 per cell]

---

Entry from Alexandria via LeMat-Bulk: an optimized crystal structure of LiMgSn3 (PBE).

Summary:
Calculated volume ... 24.6 Å³/atom
Energy above the lowest structure with this stoichiometry ... 117.5 meV per atom
E ... -3.140 eV/atom
Calculated formation energy ... -0.037 eV per atom
Size of the total moment ... 0.0 μB/cell

abc: 8.3091 8.3091 12.3212
angles: 90.00 90.00 120.00
Space group R-3 (No. 148, hexagonal axes)
Asymmetric unit:
1 Li 0.0000 0.0000 0.1174 [6 per cell]
2 Mg 0.0000 0.0000 0.3716 [6 per cell]
3 Sn 0.0026 0.3148 0.7587 [18 per cell]

---

Entry from Alexandria via LeMat-Bulk: an optimized crystal structure of Li2Mg4Sn3 (PBE).

Summary:
Calculated volume ... 23.3 Å³/atom
E ... -2.646 eV/atom
Calculated formation energy ... -0.178 eV per atom
Size of the total moment ... 0.0 μB/cell

abc: 9.2067 4.6550 10.3957
angles: 90.00 109.49 90.00
Space group C2/m (No. 12)
Asymmetric unit:
1 Li 0.1948 0.0000 0.2286 [4 per cell]
2 Mg 0.0400 0.5000 0.3377 [4 per cell]
3 Mg 0.1465 0.0000 0.9080 [4 per cell]
4 Sn 0.0000 0.5000 0.0000 [2 per cell]
5 Sn 0.1351 0.0000 0.6238 [4 per cell]

---

Entry from Alexandria via LeMat-Bulk: an optimized crystal structure of Li4MgSn (PBE).

Summary:
Calculated volume ... 20.2 Å³/atom
Energy above the lowest structure with this stoichiometry ... 114.5 meV per atom
E ... -2.380 eV/atom
Calculated formation energy ... -0.171 eV per atom
Size of the total moment ... 0.0 μB/cell

abc: 12.9162 7.7537 5.0268
angles: 90.00 105.18 90.00
Space group C2/m (No. 12)
Asymmetric unit:
1 Li 0.0000 0.1738 0.0000 [4 per cell]
2 Li 0.1421 0.1830 0.5938 [8 per cell]
3 Li 0.1724 0.5000 0.3132 [4 per cell]
4 Mg 0.0606 0.5000 0.7754 [4 per cell]
5 Sn 0.2060 0.0000 0.1282 [4 per cell]

---

Entry from Alexandria via LeMat-Bulk: an optimized crystal structure of LiMg6Sn12 (PBE).

Summary:
Calculated volume ... 25.3 Å³/atom
E ... -3.193 eV/atom
Calculated formation energy ... -0.060 eV per atom
Size of the total moment ... 0.0 μB/cell

abc: 11.1777 11.1777 13.3107
angles: 90.00 90.00 120.00
Space group R-3 (No. 148, hexagonal axes)
Asymmetric unit:
1 Li 0.0000 0.0000 0.0000 [3 per cell]
2 Mg 0.0269 0.6006 0.7150 [18 per cell]
3 Sn 0.0319 0.8479 0.8328 [18 per cell]
4 Sn 0.0495 0.1936 0.3950 [18 per cell]

---

Entry from Alexandria via LeMat-Bulk: an optimized crystal structure of Li7MgSn2 (PBE).

Summary:
Calculated volume ... 26.7 Å³/atom
E ... -2.282 eV/atom
Calculated formation energy ... 0.018 eV per atom
Size of the total moment ... 0.0 μB/cell

abc: 7.7099 13.3301 5.2025
angles: 90.00 90.00 90.00
Space group Cmmm (No. 65)
Asymmetric unit:
1 Li 0.0000 0.0000 0.0000 [2 per cell]
2 Li 0.0000 0.2560 0.5000 [4 per cell]
3 Li 0.1748 0.3831 0.0000 [8 per cell]
4 Mg 0.0000 0.5000 0.5000 [2 per cell]
5 Sn 0.0000 0.2063 0.0000 [4 per cell]

---

Entry from Alexandria via LeMat-Bulk: an optimized crystal structure of LiMg5Sn4 (PBE).

Summary:
Calculated volume ... 24.7 Å³/atom
E ... -2.645 eV/atom
Calculated formation energy ... -0.055 eV per atom
Size of the total moment ... 0.0 μB/cell

abc: 16.1248 3.3714 9.2790
angles: 90.00 101.80 90.00
Space group C2/m (No. 12)
Asymmetric unit:
1 Li 0.0000 0.0000 0.0000 [2 per cell]
2 Mg 0.0000 0.0000 0.5000 [2 per cell]
3 Mg 0.1635 0.5000 0.9274 [4 per cell]
4 Mg 0.1662 0.5000 0.5265 [4 per cell]
5 Sn 0.0126 0.5000 0.2471 [4 per cell]
6 Sn 0.1831 0.0000 0.2229 [4 per cell]

---

Entry from Alexandria via LeMat-Bulk: an optimized crystal structure of Li3MgSn4 (PBE).

Summary:
Calculated volume ... 21.6 Å³/atom
Energy above the lowest structure with this stoichiometry ... 0.0 meV per atom
E ... -3.199 eV/atom
Calculated formation energy ... -0.281 eV per atom
Size of the total moment ... 0.0 μB/cell

abc: 17.2435 4.5491 4.5556
angles: 90.00 104.33 90.00
Space group C2/m (No. 12)
Asymmetric unit:
1 Li 0.0000 0.0000 0.0000 [2 per cell]
2 Li 0.2493 0.0000 0.2493 [4 per cell]
3 Mg 0.0000 0.5000 0.5000 [2 per cell]
4 Sn 0.1280 0.0000 0.6296 [4 per cell]
5 Sn 0.1280 0.5000 0.1284 [4 per cell]

---

Entry from Alexandria via LeMat-Bulk: an optimized crystal structure of Li7Mg4Sn (PBE).

Summary:
Calculated volume ... 20.9 Å³/atom
E ... -2.005 eV/atom
Calculated formation energy ... -0.023 eV per atom
Size of the total moment ... 0.0 μB/cell

abc: 14.5635 5.0967 7.6159
angles: 90.00 117.30 90.00
Space group C2/m (No. 12)
Asymmetric unit:
1 Li 0.0000 0.0000 0.0000 [2 per cell]
2 Li 0.0724 0.5000 0.4157 [4 per cell]
3 Li 0.2049 0.5000 0.2003 [4 per cell]
4 Li 0.2052 0.5000 0.8462 [4 per cell]
5 Mg 0.0801 0.0000 0.7207 [4 per cell]
6 Mg 0.1702 0.0000 0.3932 [4 per cell]
7 Sn 0.0000 0.5000 0.0000 [2 per cell]

---

Entry from Alexandria via LeMat-Bulk: an optimized crystal structure of LiMgSn (PBE).

Summary:
Calculated volume ... 25.2 Å³/atom
E ... -2.670 eV/atom
Calculated formation energy ... -0.166 eV per atom
Size of the total moment ... 0.0 μB/cell

abc: 6.7155 6.7155 6.7155
angles: 90.00 90.00 90.00
Space group F-43m (No. 216)
Asymmetric unit:
1 Li 0.0000 0.0000 0.0000 [4 per cell]
2 Mg 0.0000 0.0000 0.5000 [4 per cell]
3 Sn 0.2500 0.2500 0.7500 [4 per cell]

---

Entry from Alexandria via LeMat-Bulk: an optimized crystal structure of LiMg5Sn2 (PBE).

Summary:
Calculated volume ... 23.9 Å³/atom
E ... -2.377 eV/atom
Calculated formation energy ... -0.141 eV per atom
Size of the total moment ... 0.0 μB/cell

abc: 4.8426 4.8426 18.7912
angles: 90.00 90.00 120.00
Space group P6_3/mmc (No. 194)
Asymmetric unit:
1 Li 0.3333 0.6667 0.2500 [2 per cell]
2 Mg 0.0000 0.0000 0.1653 [4 per cell]
3 Mg 0.3333 0.6667 0.5528 [4 per cell]
4 Mg 0.3333 0.6667 0.7500 [2 per cell]
5 Sn 0.3333 0.6667 0.1048 [4 per cell]

---

Entry from Alexandria via LeMat-Bulk: an optimized crystal structure of LiMgSn (PBE).

Summary:
Calculated volume ... 21.7 Å³/atom
E ... -2.733 eV/atom
Calculated formation energy ... -0.229 eV per atom
Size of the total moment ... 0.0 μB/cell

abc: 3.8872 3.8872 8.6346
angles: 90.00 90.00 90.00
Space group I4mm (No. 107)
Asymmetric unit:
1 Li 0.0000 0.0000 0.0000 [2 per cell]
2 Mg 0.0000 0.0000 0.6735 [2 per cell]
3 Sn 0.0000 0.0000 0.3328 [2 per cell]

---

Entry from Alexandria via LeMat-Bulk: an optimized crystal structure of Li8Mg2Sn (PBE).

Summary:
Calculated volume ... 19.6 Å³/atom
E ... -2.118 eV/atom
Calculated formation energy ... -0.072 eV per atom
Size of the total moment ... 0.0 μB/cell

abc: 7.5457 14.0703 4.9243
angles: 90.00 124.26 90.00
Space group C2/m (No. 12)
Asymmetric unit:
1 Li 0.0000 0.2007 0.0000 [4 per cell]
2 Li 0.0835 0.5000 0.7987 [4 per cell]
3 Li 0.2141 0.1094 0.6751 [8 per cell]
4 Mg 0.0000 0.3084 0.5000 [4 per cell]
5 Sn 0.0000 0.0000 0.0000 [2 per cell]

---

Entry from Alexandria via LeMat-Bulk: an optimized crystal structure of Li2MgSn (PBE).

Summary:
Calculated volume ... 21.9 Å³/atom
E ... -2.390 eV/atom
Calculated formation energy ... -0.034 eV per atom
Size of the total moment ... 0.0 μB/cell

abc: 7.7825 7.7825 5.7965
angles: 90.00 90.00 90.00
Space group I-42d (No. 122)
Asymmetric unit:
1 Li 0.2417 0.7500 0.1250 [8 per cell]
2 Mg 0.0000 0.0000 0.5000 [4 per cell]
3 Sn 0.0000 0.0000 0.0000 [4 per cell]

---

Entry from Alexandria via LeMat-Bulk: an optimized crystal structure of Li2MgSn3 (PBE).

Summary:
Calculated volume ... 21.9 Å³/atom
E ... -3.153 eV/atom
Calculated formation energy ... -0.248 eV per atom
Size of the total moment ... 0.0 μB/cell

abc: 3.2956 3.2956 12.0894
angles: 90.00 90.00 90.00
Space group P4/mmm (No. 123)
Asymmetric unit:
1 Li 0.0000 0.0000 0.1599 [2 per cell]
2 Mg 0.0000 0.0000 0.5000 [1 per cell]
3 Sn 0.5000 0.5000 0.0000 [1 per cell]
4 Sn 0.5000 0.5000 0.3242 [2 per cell]

---

Entry from Alexandria via LeMat-Bulk: an optimized crystal structure of Li4MgSn (PBE).

Summary:
Calculated volume ... 18.6 Å³/atom
Energy above the lowest structure with this stoichiometry ... 0.0 meV per atom
E ... -2.494 eV/atom
Calculated formation energy ... -0.285 eV per atom
Size of the total moment ... 0.0 μB/cell

abc: 4.6912 4.6912 5.8463
angles: 90.00 90.00 120.00
Space group P6/mmm (No. 191)
Asymmetric unit:
1 Li 0.3333 0.6667 0.2277 [4 per cell]
2 Mg 0.0000 0.0000 0.5000 [1 per cell]
3 Sn 0.0000 0.0000 0.0000 [1 per cell]